Compound: RbMnPbF6
Source: Alexandria via LeMat-Bulk
Functional: PBE+U
Structure: relaxed

a = 5.3442 Å, b = 5.8109 Å, c = 6.0065 Å
α = 61.93°, β = 89.45°, γ = 89.55°
Space group P1 (No. 1)
Unique sites:
Rb (0.0000, 0.0000, 0.0000) [1 per cell]
Mn (0.6010, 0.6655, 0.6666) [1 per cell]
Pb (0.4944, 0.3457, 0.3188) [1 per cell]
F (0.3942, 0.3793, 0.8738) [1 per cell]
F (0.4010, 0.7380, 0.3343) [1 per cell]
F (0.4070, 0.8889, 0.7461) [1 per cell]
F (0.7919, 0.4412, 0.5731) [1 per cell]
F (0.8039, 0.5363, 0.0197) [1 per cell]
F (0.8065, 0.9591, 0.4712) [1 per cell]

## Properties
As for the crystal system: triclinic. The calculation puts the density of states at the Fermi level at 0.000 states/eV per cell. The magnetic moment is 4.000 Bohr magnetons per cell. Its calculated total energy is -46.18 eV/cell.